# NbGeSb2Rh PBE-GGA optimized geometry
data_NbGeSb2Rh
_chemical_formula_sum 'Nb1 Ge1 Sb2 Rh1'
_symmetry_space_group_name_H-M 'P 4/m m m'
_symmetry_Int_Tables_number 123
_symmetry_space_group_name_Hall '-P 4 2'
_cell_length_a 5.0346
_cell_length_b 5.0346
_cell_length_c 5.0384
_cell_angle_alpha 90.00
_cell_angle_beta 90.00
_cell_angle_gamma 90.00
loop_
_atom_site_label
_atom_site_fract_x
_atom_site_fract_y
_atom_site_fract_z
Nb1 0.0000 0.0000 0.0000
Ge1 0.5000 0.5000 0.0000
Sb1 0.0000 0.5000 0.5000
Rh1 0.0000 0.0000 0.5000
# **Formation energy (no corrections)**: 717 meV per atom


# Tb4CdAg2Rh PBE-GGA optimized geometry
data_Tb4CdAg2Rh
_chemical_formula_sum 'Tb12 Cd3 Ag6 Rh3'
_symmetry_space_group_name_H-M 'R -3 m'
_symmetry_Int_Tables_number 166
_symmetry_space_group_name_Hall '-R 3 2"'
_cell_length_a 5.1382
_cell_length_b 5.1382
_cell_length_c 24.9215
_cell_angle_alpha 90.00
_cell_angle_beta 90.00
_cell_angle_gamma 120.00
loop_
_atom_site_label
_atom_site_fract_x
_atom_site_fract_y
_atom_site_fract_z
Tb1 0.0000 0.0000 0.1154
Tb2 0.0000 0.0000 0.3681
Cd1 0.0000 0.0000 0.5000
Ag1 0.0000 0.0000 0.2413
Rh1 0.0000 0.0000 0.0000
# **Energy relative to the elements**: -3.71 eV per formula unit


# LiNiTe2 PBE-GGA optimized geometry
data_LiNiTe2
_chemical_formula_sum 'Li1 Ni1 Te2'
_symmetry_space_group_name_H-M 'P 4/m m m'
_symmetry_Int_Tables_number 123
_symmetry_space_group_name_Hall '-P 4 2'
_cell_length_a 3.3285
_cell_length_b 3.3285
_cell_length_c 7.4688
_cell_angle_alpha 90.00
_cell_angle_beta 90.00
_cell_angle_gamma 90.00
loop_
_atom_site_label
_atom_site_fract_x
_atom_site_fract_y
_atom_site_fract_z
Li1 0.0000 0.0000 0.0000
Ni1 0.0000 0.0000 0.5000
Te1 0.5000 0.5000 0.2762
# **Formation energy (no corrections)**: -65 meV per atom


# Dy4Al3Rh PBE-GGA optimized geometry
data_Dy4Al3Rh
_chemical_formula_sum 'Dy4 Al3 Rh1'
_symmetry_space_group_name_H-M 'P 4/m m m'
_symmetry_Int_Tables_number 123
_symmetry_space_group_name_Hall '-P 4 2'
_cell_length_a 3.5588
_cell_length_b 3.5588
_cell_length_c 14.2013
_cell_angle_alpha 90.00
_cell_angle_beta 90.00
_cell_angle_gamma 90.00
loop_
_atom_site_label
_atom_site_fract_x
_atom_site_fract_y
_atom_site_fract_z
Dy1 0.0000 0.0000 0.1137
Dy2 0.0000 0.0000 0.3710
Al1 0.5000 0.5000 0.2434
Al2 0.5000 0.5000 0.5000
Rh1 0.5000 0.5000 0.0000
# **Energy relative to the elements**: -4.19 eV per formula unit


# Rb3MgPa3Te8 PBE-GGA optimized geometry
data_Rb3MgPa3Te8
_chemical_formula_sum 'Rb6 Mg2 Pa6 Te16'
_symmetry_space_group_name_H-M 'C 1 2/m 1'
_symmetry_Int_Tables_number 12
_cell_length_a 15.3119
_cell_length_b 8.8395
_cell_length_c 10.2081
_cell_angle_alpha 90.00
_cell_angle_beta 120.05
_cell_angle_gamma 90.00
loop_
_symmetry_equiv_pos_as_xyz
'x,y,z'
'-x,-y,-z'
'-x,y,-z'
'x,-y,z'
'x+1/2,y+1/2,z'
'-x+1/2,-y+1/2,-z'
'-x+1/2,y+1/2,-z'
'x+1/2,-y+1/2,z'
loop_
_atom_site_label
_atom_site_fract_x
_atom_site_fract_y
_atom_site_fract_z
Rb1 0.0000 0.0000 0.0000
Rb2 0.2500 0.2500 0.0000
Mg1 0.0000 0.0000 0.5000
Pa1 0.0000 0.5000 0.5000
Pa2 0.2500 0.2500 0.5000
Te1 0.0172 0.2475 0.3041
Te2 0.2306 0.0000 0.6961
Te3 0.2349 0.5000 0.7047
# **Formation energy (no corrections)**: -919 meV per atom


# Tb8SiGe3Te4 PBE-GGA optimized geometry
data_Tb8SiGe3Te4
_chemical_formula_sum 'Tb24 Si3 Ge9 Te12'
_symmetry_space_group_name_H-M 'R -3 m'
_symmetry_Int_Tables_number 166
_symmetry_space_group_name_Hall '-R 3 2"'
_cell_length_a 8.5099
_cell_length_b 8.5099
_cell_length_c 21.3582
_cell_angle_alpha 90.00
_cell_angle_beta 90.00
_cell_angle_gamma 120.00
loop_
_atom_site_label
_atom_site_fract_x
_atom_site_fract_y
_atom_site_fract_z
Tb1 0.0000 0.0000 0.2403
Tb2 0.0012 0.5006 0.2401
Si1 0.0000 0.0000 0.5000
Ge1 0.0000 0.5000 0.5000
Te1 0.0000 0.0000 0.0000
Te2 0.0000 0.5000 0.0000
# **Formation energy (no corrections)**: -1175 meV per atom


# Li2BeCr PBE-GGA optimized geometry
data_Li2BeCr
_chemical_formula_sum 'Li4 Be2 Cr2'
_symmetry_space_group_name_H-M 'C m m 2'
_symmetry_Int_Tables_number 35
_cell_length_a 3.2257
_cell_length_b 3.5237
_cell_length_c 8.6053
_cell_angle_alpha 90.00
_cell_angle_beta 90.00
_cell_angle_gamma 90.00
loop_
_symmetry_equiv_pos_as_xyz
'x,y,z'
'-x,-y,z'
'-x,y,z'
'x,-y,z'
'x+1/2,y+1/2,z'
'-x+1/2,-y+1/2,z'
'-x+1/2,y+1/2,z'
'x+1/2,-y+1/2,z'
loop_
_atom_site_label
_atom_site_fract_x
_atom_site_fract_y
_atom_site_fract_z
Li1 0.0000 0.0000 0.0000
Li2 0.0000 0.5000 0.2925
Be1 0.0000 0.0000 0.5322
Cr1 0.0000 0.5000 0.7349
# **Energy relative to the elements**: 1.02 eV per formula unit


# Tm5Sb2Ir PBE-GGA optimized geometry
data_Tm5Sb2Ir
_chemical_formula_sum 'Tm20 Sb8 Ir4'
_symmetry_space_group_name_H-M 'C m c m'
_symmetry_Int_Tables_number 63
_symmetry_space_group_name_Hall '-C 2c 2'
_cell_length_a 5.5265
_cell_length_b 14.4536
_cell_length_c 14.7941
_cell_angle_alpha 90.00
_cell_angle_beta 90.00
_cell_angle_gamma 90.00
loop_
_atom_site_label
_atom_site_fract_x
_atom_site_fract_y
_atom_site_fract_z
Tm1 0.0000 0.0492 0.1283
Tm2 0.0000 0.2879 0.7500
Tm3 0.0000 0.2912 0.1053
Sb1 0.0000 0.1471 0.5539
Ir1 0.0000 0.1825 0.2500
# **Formation energy (no corrections)**: -448 meV per atom
# **Excess energy over the best structure of this formula in the dataset**: 0.426 eV per atom


# ZrReNi2 PBE-GGA optimized geometry
data_ZrReNi2
_chemical_formula_sum 'Zr2 Re2 Ni4'
_symmetry_space_group_name_H-M 'I 4/m m m'
_symmetry_Int_Tables_number 139
_symmetry_space_group_name_Hall '-I 4 2'
_cell_length_a 3.9038
_cell_length_b 3.9038
_cell_length_c 7.5772
_cell_angle_alpha 90.00
_cell_angle_beta 90.00
_cell_angle_gamma 90.00
loop_
_atom_site_label
_atom_site_fract_x
_atom_site_fract_y
_atom_site_fract_z
Zr1 0.0000 0.0000 0.0000
Re1 0.0000 0.0000 0.5000
Ni1 0.0000 0.5000 0.2500
# **Energy relative to the elements**: -0.34 eV per formula unit
# **Excess energy over the best structure of this formula in the dataset**: 0.026 eV per atom


# Th3U PBE-GGA optimized geometry
data_Th3U
_chemical_formula_sum 'Th6 U2'
_symmetry_space_group_name_H-M 'I 4/m m m'
_symmetry_Int_Tables_number 139
_symmetry_space_group_name_Hall '-I 4 2'
_cell_length_a 4.8991
_cell_length_b 4.8991
_cell_length_c 9.7874
_cell_angle_alpha 90.00
_cell_angle_beta 90.00
_cell_angle_gamma 90.00
loop_
_atom_site_label
_atom_site_fract_x
_atom_site_fract_y
_atom_site_fract_z
Th1 0.0000 0.0000 0.0000
Th2 0.0000 0.5000 0.2500
U1 0.0000 0.0000 0.5000
# **Energy relative to the elements**: 1.01 eV per formula unit
# **Excess energy over the best structure of this formula in the dataset**: 0.000 eV per atom


# TiBe2HgPd PBE-GGA optimized geometry
data_TiBe2HgPd
_chemical_formula_sum 'Ti1 Be2 Hg1 Pd1'
_symmetry_space_group_name_H-M 'P 4/m m m'
_symmetry_Int_Tables_number 123
_symmetry_space_group_name_Hall '-P 4 2'
_cell_length_a 4.2875
_cell_length_b 4.2875
_cell_length_c 5.0563
_cell_angle_alpha 90.00
_cell_angle_beta 90.00
_cell_angle_gamma 90.00
loop_
_atom_site_label
_atom_site_fract_x
_atom_site_fract_y
_atom_site_fract_z
Ti1 0.0000 0.0000 0.0000
Be1 0.0000 0.5000 0.5000
Hg1 0.5000 0.5000 0.5000
Pd1 0.5000 0.5000 0.0000
# **Energy relative to the elements**: 4.58 eV per formula unit


Number 1: D(E_F) 6.76 states/eV/f.u., total energy -5.340 eV per atom. Number 2: D(E_F) 4.49 states/eV/f.u., total energy -4.525 eV per atom. Number 3: D(E_F) 2.18 states/eV/f.u., total energy -3.560 eV per atom. Number 4: D(E_F) 3.61 states/eV/f.u., total energy -5.147 eV per atom. Number 5: D(E_F) 19.33 states/eV/f.u., total energy -4.793 eV per atom. Number 6: D(E_F) 2.84 states/eV/f.u., total energy -5.481 eV per atom. Number 7: D(E_F) 2.39 states/eV/f.u., total energy -4.040 eV per atom. Number 8: D(E_F) 4.54 states/eV/f.u., total energy -5.381 eV per atom. Number 9: D(E_F) 4.12 states/eV/f.u., total energy -8.225 eV per atom. Number 10: D(E_F) 10.10 states/eV/f.u., total energy -8.135 eV per atom. Number 11: D(E_F) 5.47 states/eV/f.u., total energy -3.252 eV per atom.